1.
3
Lattice="0.0000 3.7983 3.7983 3.7983 0.0000 3.7983 3.7983 3.7983 0.0000" Properties=species:S:1:pos:R:3 comment="PBE BaAlZn, relaxed" de_polymorph_ev_per_atom=0.701 sg="No. 216" pbc="T T T"
Ba 0.0000 0.0000 0.0000
Al 1.8991 1.8991 1.8991
Zn 5.6974 5.6974 5.6974


2.
15
Lattice="4.1301 2.3845 7.6277 -4.1301 2.3845 7.6277 0.0000 -4.7691 7.6277" Properties=species:S:1:pos:R:3 comment="PBE TmTl3Sb3Se8, relaxed" formation_energy_uncorrected_ev_per_atom=-0.5781 sg="No. 166" pbc="T T T"
Tm 0.0000 0.0000 0.0000
Tl -4.1301 0.0000 11.4416
Tl -2.0651 1.1923 3.8139
Tl 2.0651 1.1923 3.8139
Sb -2.0651 -1.1923 7.6277
Sb -2.0651 1.1923 15.2555
Sb 0.0000 2.3845 7.6277
Se 0.0000 -2.3962 9.2260
Se -2.0752 1.1981 9.2260
Se 0.0000 0.0000 5.9745
Se -2.0752 -1.1981 13.6572
Se 2.0752 1.1981 9.2260
Se 0.0000 0.0000 16.9088
Se 2.0752 -1.1981 13.6573
Se 0.0000 2.3962 13.6573


3.
12
Lattice="3.6950 -6.4000 0.0000 3.6950 6.4000 0.0000 -2.4660 0.0000 6.9596" Properties=species:S:1:pos:R:3 comment="PBE Pr5UAs6, relaxed" e_tot_ha_per_atom=-0.24358 sg="No. 12" pbc="T T T"
Pr 0.0000 0.0000 0.0000
Pr 2.4620 4.2762 3.4798
Pr 3.6950 2.1719 0.0000
Pr 3.6950 -2.1719 0.0000
Pr 2.4620 -4.2762 3.4798
U 2.4620 0.0000 3.4798
As 1.2796 2.0518 1.7939
As 0.1012 0.0000 5.1676
As 1.2796 -2.0518 1.7939
As 3.6443 2.0518 5.1657
As 4.8227 0.0000 1.7919
As 3.6443 -2.0518 5.1657


4.
7
Lattice="2.3120 -12.6733 0.0000 2.3120 12.6733 0.0000 0.0000 0.0000 3.4992" Properties=species:S:1:pos:R:3 comment="PBE Pr2Y2In3, relaxed" de_polymorph_ev_per_atom=0.032 sg="No. 65" pbc="T T T"
Pr 2.3120 10.8609 0.0000
Pr 2.3120 -10.8609 0.0000
Y 2.3120 7.5315 0.0000
Y 2.3120 -7.5315 0.0000
In 2.3120 3.7745 1.7496
In 2.3120 0.0000 1.7496
In 2.3120 -3.7745 1.7496


5.
4
Lattice="0.0000 4.4073 4.4073 4.4073 0.0000 4.4073 4.4073 4.4073 0.0000" Properties=species:S:1:pos:R:3 comment="PBE CsK2Ge, relaxed" de_polymorph_ev_per_atom=0.145 sg="No. 225" pbc="T T T"
Cs 0.0000 0.0000 0.0000
K 2.2036 2.2036 2.2036
K 6.6109 6.6109 6.6109
Ge 4.4073 4.4073 4.4073


6.
8
Lattice="14.9318 -1.8785 0.0000 14.9318 1.8785 0.0000 -0.1574 0.0000 5.0737" Properties=species:S:1:pos:R:3 comment="PBE La4Tb3In, relaxed" e_tot_ha_per_atom=-0.16448 sg="No. 12" pbc="T T T"
La 2.8624 0.0000 1.1514
La 6.4221 0.0000 1.2340
La 23.2841 0.0000 3.8398
La 26.8438 0.0000 3.9223
Tb 10.1469 0.0000 1.3583
Tb 14.9318 0.0000 0.0000
Tb 19.5593 0.0000 3.7154
In -0.0787 0.0000 2.5369


- Number 5 is which compound?
  CsK2Ge